[1]
CeHf2Fe: relaxed, PBE.

Geometry as POSCAR:
```
CeHf2Fe
1.0
3.178 0.000 0.000
0.000 3.178 0.000
0.000 0.000 8.026
Ce Hf Fe
1 2 1
direct
0.500 0.500 0.500
0.000 0.000 0.812
0.000 0.000 0.188
0.500 0.500 0.000
```

Values from the calculation:
* DFT formation energy: -56.8 meV per atom
* E_tot: -34.53 eV/f.u.
* symmetry: P4/mmm
* N(E_F): 1.3354 states/eV/atom
* polymorph energy (0 for the lowest one): 0.0 meV per atom


[2]
DyZrTlAu: relaxed, PBE.

Geometry as POSCAR:
```
DyZrTlAu
1.0
-0.894 -5.021 0.116
2.966 -3.181 -2.666
3.233 -3.111 2.428
Dy Zr Tl Au
1 1 1 1
direct
0.750 0.750 0.750
0.250 0.250 0.250
0.000 0.000 0.000
0.500 0.500 0.500
```

Values from the calculation:
* DFT formation energy: -333.5 meV per atom
* E_tot: -20.13 eV/f.u.
* symmetry: F-43m
* N(E_F): 0.6552 states/eV/atom


[3]
La2YIrRh: relaxed, PBE.

Geometry as POSCAR:
```
La2YIrRh
1.0
-1.982 -1.521 5.119
-0.194 -4.601 -1.443
5.335 -0.798 1.828
Y La Ir Rh
1 2 1 1
direct
0.000 0.000 0.000
0.500 0.000 0.000
0.000 0.000 0.500
0.000 0.500 0.000
0.500 0.500 0.500
```

Values from the calculation:
* DFT formation energy: 1074.9 meV per atom
* E_tot: -27.16 eV/f.u.
* symmetry: P4/mmm
* N(E_F): 1.2489 states/eV/atom


[4]
La2PaAs3Ir4: relaxed, PBE.

Geometry as POSCAR:
```
La2PaAs3Ir4
1.0
4.235 0.000 0.000
0.000 4.235 0.000
0.000 0.000 11.309
As Pa Ir La
3 1 4 2
direct
0.000 0.000 0.500
0.500 0.000 0.872
0.000 0.500 0.128
0.500 0.500 0.500
0.000 0.500 0.347
0.500 0.000 0.653
0.500 0.500 0.000
0.000 0.000 0.000
0.000 0.500 0.775
0.500 0.000 0.225
```

Values from the calculation:
* DFT formation energy: -792.1 meV per atom
* E_tot: -76.66 eV/f.u.
* symmetry: P-4m2
* N(E_F): 0.7063 states/eV/atom


[5]
BaCuRh2I: relaxed, PBE.

Geometry as POSCAR:
```
BaCuRh2I
1.0
5.143 0.000 0.000
0.000 6.611 0.000
0.000 0.000 5.143
Rh Ba I Cu
2 1 1 1
direct
0.500 0.000 0.000
0.000 0.000 0.500
0.000 0.000 0.000
0.000 0.500 0.000
0.500 0.500 0.500
```

Values from the calculation:
* E_tot: -15.04 eV/f.u.
* symmetry: P4/mmm
* N(E_F): 2.0364 states/eV/atom
* formation energy from raw total energies: 1445.9 meV/atom


[6]
NbZnAg3: relaxed, PBE.

Geometry as POSCAR:
```
NbZnAg3
1.0
4.740 0.000 0.000
0.000 4.740 0.000
0.000 0.000 4.740
Zn Ag Nb
1 3 1
direct
0.000 0.000 0.000
0.000 0.000 0.500
0.500 0.000 0.000
0.000 0.500 0.000
0.500 0.500 0.500
```

Values from the calculation:
* DFT formation energy: 924.1 meV per atom
* E_tot: -15.28 eV/f.u.
* symmetry: Pm-3m
* N(E_F): 0.5717 states/eV/atom
* polymorph energy (0 for the lowest one): 0.0 meV per atom